HgTePt2 after structural relaxation, computed with PBE.

abc: 4.781 4.781 4.781
angles: 60.00 60.00 60.00
Positions (direct):
Pt1 0.750 0.750 0.750
Hg1 0.500 0.500 0.500
Te1 0.000 0.000 0.000
Pt2 0.250 0.250 0.250

Results
Calculated density (kg/m3): 15440
Fermi-level density of states (states/eV per atom): 0.633
Total DFT energy (no corrections) (Ha/atom): -0.137
Crystal system: cubic
ΔE to the lowest computed polymorph (meV per atom): 215
Spin magnetization (μB/cell): 0.00
SG: No. 225

---

Dy6Ga2Ni after structural relaxation, computed with PBE.

abc: 6.040 8.212 9.530
angles: 90.00 87.61 90.00
Positions (direct):
Ga1 0.926 0.376 0.752
Dy1 0.113 0.032 0.761
Dy2 0.120 0.324 0.058
Dy3 0.387 0.532 0.739
Dy4 0.374 0.824 0.057
Ga2 0.426 0.124 0.252
Ni1 0.000 0.000 0.500
Dy5 0.126 0.324 0.443
Ga3 0.074 0.624 0.248
Dy6 0.874 0.676 0.557
Dy7 0.613 0.468 0.261
Dy8 0.880 0.676 0.942
Dy9 0.380 0.824 0.442
Ni2 0.500 0.500 0.000
Dy10 0.887 0.968 0.239
Dy11 0.626 0.176 0.943
Dy12 0.620 0.176 0.558
Ga4 0.574 0.876 0.748

Results
Calculated density (kg/m3): 8249
Fermi-level density of states (states/eV per atom): 1.137
Total DFT energy (no corrections) (Ha/atom): -0.172
Crystal system: monoclinic
DFT formation energy (kJ per mole of atoms): -29.2
Spin magnetization (μB/cell): 0.00
SG: No. 14

---

NbPdPt after structural relaxation, computed with PBE.

abc: 2.771 4.508 4.508
angles: 120.00 90.00 90.00
Positions (direct):
Nb1 0.642 0.333 0.667
Pt1 0.987 0.000 0.000
Pd1 0.371 0.667 0.333

Results
Calculated density (kg/m3): 13426
Fermi-level density of states (states/eV per atom): 0.851
Total DFT energy (no corrections) (Ha/atom): -0.276
Crystal system: trigonal
DFT formation energy (kJ per mole of atoms): -39.6
ΔE to the lowest computed polymorph (meV per atom): 198
Spin magnetization (μB/cell): 0.00
SG: No. 156

---

Re2Os after structural relaxation, computed with PBE.

abc: 6.184 6.184 3.885
angles: 90.00 90.00 143.35
Positions (direct):
Re1 0.082 0.918 0.750
Re2 0.918 0.082 0.250
Os1 0.582 0.418 0.250
Re3 0.250 0.750 0.250
Os2 0.418 0.582 0.750
Re4 0.750 0.250 0.750

Results
Calculated density (kg/m3): 21075
Fermi-level density of states (states/eV per atom): 0.865
Total DFT energy (no corrections) (Ha/atom): -0.441
Crystal system: orthorhombic
DFT formation energy (kJ per mole of atoms): 5.1
ΔE to the lowest computed polymorph (meV per atom): 127
Spin magnetization (μB/cell): 0.00
SG: No. 63

---

NaPu2TlCl8 after structural relaxation, computed with PBE.

abc: 6.907 6.720 8.560
angles: 89.99 89.99 86.23
Positions (direct):
Cl1 0.816 0.251 0.773
Pu1 0.500 0.500 0.755
Tl1 0.000 0.000 0.500
Cl2 0.184 0.749 0.773
Pu2 0.500 0.500 0.245
Cl3 0.816 0.251 0.227
Cl4 0.184 0.749 0.227
Cl5 0.367 0.292 0.500
Cl6 0.633 0.708 0.500
Na1 0.000 0.000 0.000
Cl7 0.351 0.288 0.000
Cl8 0.649 0.712 0.000

Results
Calculated density (kg/m3): 4184
Fermi-level density of states (states/eV per atom): 1.692
Total DFT energy (no corrections) (Ha/atom): -0.208
Crystal system: monoclinic
Spin magnetization (μB/cell): 10.00
SG: No. 10

---

CsK2LiAs after structural relaxation, computed with PBE.

abc: 6.731 6.731 5.132
angles: 90.00 90.00 90.00
Positions (direct):
Cs1 0.500 0.500 0.500
K1 0.000 0.500 0.000
K2 0.500 0.000 0.000
Li1 0.000 0.000 0.500
As1 0.000 0.000 0.000

Results
Calculated density (kg/m3): 2092
Fermi-level density of states (states/eV per atom): 0.356
Total DFT energy (no corrections) (Ha/atom): -0.078
Crystal system: tetragonal
DFT formation energy (kJ per mole of atoms): -20.2
Spin magnetization (μB/cell): 0.00
SG: No. 123

---

> Which of these has the lowest calculated density?

CsK2LiAs